# 1
Na3In7Ga4: optimized geometry, PBE.

Structure (extended XYZ):
```
14
Lattice="8.751 -2.362 0.000 8.751 2.362 0.000 -6.309 0.000 8.651" Properties=species:S:1:pos:R:3 pbc="T T T"
Na 0.000 0.000 0.000
Na 3.388 0.000 2.535
Na 7.805 0.000 6.116
In -3.155 0.000 4.326
In 0.092 0.000 3.790
In -0.222 0.000 8.375
In 4.366 0.000 5.972
In 6.827 0.000 2.680
In 11.414 0.000 0.276
In 11.100 0.000 4.861
Ga -2.911 0.000 7.439
Ga 1.523 0.000 6.298
Ga 9.669 0.000 2.353
Ga 14.103 0.000 1.213
```

Summary:
Magnetization, μB per formula unit: 0.00
D(E_F), states/eV per cell: 5.38
Uncorrected energy, eV per formula unit: -36.2

=====

# 2
Pm4SmP5: optimized geometry, PBE.

Structure (extended XYZ):
```
10
Lattice="-2.065 2.916 10.314 2.065 -2.916 10.314 2.065 2.916 -10.314" Properties=species:S:1:pos:R:3 pbc="T T T"
Pm 0.000 0.000 2.060
Pm 0.000 0.000 6.193
Pm 0.000 0.000 14.435
Pm 0.000 0.000 18.568
Sm 0.000 0.000 10.314
P 2.065 0.000 0.000
P 2.065 0.000 4.126
P 2.065 0.000 8.262
P 0.000 2.916 2.051
P 0.000 2.916 6.188
```

Summary:
Magnetization, μB per formula unit: 0.00
D(E_F), states/eV per cell: 1.57
Uncorrected energy, eV per formula unit: -66.4